Compound: TlHg6Pb2
Source: the Alexandria database
Functional: GGA-PBE
Structure: relaxed

Its formation energy from the elements is 0.0315 eV/atom. The offset from the most stable computed form comes out at 0 meV/atom.

The space group is P-6m2 (No. 187) and the conventional cell measures 3.4031, 3.4031 and 25.7481 Å, with angles of 90.00, 90.00 and 120.00 degrees. The inequivalent atoms are Tl at (0.0000, 0.0000, 0.0000), Hg at (0.0000, 0.0000, 0.2191), Hg at (0.0000, 0.0000, 0.4424), Hg at (0.3333, 0.6667, 0.1144) and Pb at (0.3333, 0.6667, 0.3328).